# 1
Here is a relaxed La3Tb4Pr8 crystal from Alexandria via LeMat-Bulk. Energies are from PBE-GGA.

Computed properties:
As for the total DFT energy (no corrections): -4.466 eV/atom. The formation enthalpy at 0 K is 303 meV/atom. The value obtained for the volume is 537.2 Å³ per cell.

a = 7.014 Å, b = 9.444 Å, c = 9.444 Å
α = 82.14°, β = 112.07°, γ = 112.07°
Fractional positions:
Tb1 0.000 0.000 0.500
Pr1 0.229 0.704 0.704
Tb2 0.000 0.500 0.000
Pr2 0.802 0.753 0.753
Pr3 0.500 0.247 0.753
La1 0.500 0.000 0.500
Pr4 0.198 0.247 0.247
Tb3 0.500 0.000 0.000
La2 0.500 0.500 0.500
Tb4 0.000 0.000 0.000
Pr5 0.000 0.293 0.707
Pr6 0.500 0.753 0.247
Pr7 0.000 0.707 0.293
Pr8 0.771 0.296 0.296
La3 0.500 0.500 0.000


# 2
Here is a relaxed LiSmBiPt crystal from Alexandria via LeMat-Bulk. Energies are from PBE-GGA.

Computed properties:
As for the total DFT energy (no corrections): -4.794 eV/atom. The formation enthalpy at 0 K is -655 meV/atom. The value obtained for the volume is 86.9 Å³ per cell.

a = 4.973 Å, b = 4.973 Å, c = 4.973 Å
α = 60.00°, β = 60.00°, γ = 60.00°
Fractional positions:
Li1 0.750 0.750 0.750
Sm1 0.000 0.000 0.000
Pt1 0.250 0.250 0.250
Bi1 0.500 0.500 0.500


# 3
Here is a relaxed TaTl2Cl crystal from Alexandria via LeMat-Bulk. Energies are from PBE-GGA.

Computed properties:
As for the total DFT energy (no corrections): -4.186 eV/atom. The value obtained for the volume is 94.4 Å³ per cell.

a = 5.670 Å, b = 3.266 Å, c = 5.982 Å
α = 58.45°, β = 90.00°, γ = 90.00°
Fractional positions:
Cl1 0.500 0.250 0.250
Ta1 0.500 0.750 0.750
Tl1 0.000 0.773 0.996
Tl2 0.000 0.727 0.504


# 4
Here is a relaxed SrTa3Cu4O12 crystal from Alexandria via LeMat-Bulk. Energies are from PBE-GGA.

Computed properties:
As for the total DFT energy (no corrections): -7.597 eV/atom. The value obtained for the volume is 270.1 Å³ per cell.

a = 6.843 Å, b = 6.843 Å, c = 6.843 Å
α = 106.56°, β = 106.56°, γ = 106.56°
Site moments in Bohr magnetons follow the coordinates.
Fractional positions:
O1 0.673 0.500 0.327  0.07
O2 0.500 0.327 0.673  0.07
Ta1 0.561 0.439 0.000  0.00
O3 0.266 0.360 0.996  0.07
O4 0.004 0.640 0.734  0.07
Cu1 0.500 0.500 0.500  0.48
Sr1 0.000 0.000 0.000  0.00
O5 0.996 0.266 0.360  0.07
Ta2 0.439 0.000 0.561  0.00
O6 0.327 0.673 0.500  0.07
O7 0.898 0.500 0.102  0.12
O8 0.734 0.004 0.640  0.07
O9 0.360 0.996 0.266  0.07
Cu2 0.074 0.500 0.926  0.48
Cu3 0.926 0.074 0.500  0.48
O10 0.500 0.102 0.898  0.12
O11 0.640 0.734 0.004  0.07
O12 0.102 0.898 0.500  0.12
Cu4 0.500 0.926 0.074  0.48
Ta3 0.000 0.561 0.439  0.00


# 5
Here is a relaxed Pm3Tl4BiTe8 crystal from Alexandria via LeMat-Bulk. Energies are from PBE-GGA.

Computed properties:
As for the total DFT energy (no corrections): -4.172 eV/atom. The value obtained for the volume is 585.8 Å³ per cell.

a = 9.117 Å, b = 9.693 Å, c = 9.117 Å
α = 118.07°, β = 120.00°, γ = 90.00°
Fractional positions:
Pm1 0.500 0.500 0.500
Te1 0.240 0.719 0.979
Pm2 0.500 0.500 0.000
Te2 0.739 0.719 0.979
Tl1 0.500 0.000 0.500
Te3 0.240 0.719 0.480
Te4 0.760 0.281 0.021
Tl2 0.000 0.000 0.000
Pm3 0.000 0.500 0.500
Te5 0.760 0.281 0.520
Tl3 0.500 0.000 0.000
Te6 0.261 0.281 0.021
Te7 0.740 0.719 0.479
Te8 0.260 0.281 0.521
Bi1 0.000 0.500 0.000
Tl4 0.000 0.000 0.500


# 6
Here is a relaxed ZrInSe4 crystal from Alexandria via LeMat-Bulk. Energies are from PBE-GGA.

Computed properties:
As for the total DFT energy (no corrections): -4.885 eV/atom. The value obtained for the volume is 320.1 Å³ per cell.

a = 6.968 Å, b = 7.425 Å, c = 7.448 Å
α = 119.90°, β = 104.35°, γ = 90.00°
Fractional positions:
In1 0.000 0.500 0.500
Se1 0.116 0.710 0.285
Se2 0.384 0.426 0.715
Se3 0.105 0.158 0.165
In2 0.500 0.000 0.500
Zr1 0.750 0.625 0.000
Se4 0.895 0.842 0.835
Se5 0.616 0.574 0.285
Se6 0.395 0.993 0.835
Se7 0.884 0.290 0.715
Se8 0.605 0.007 0.165
Zr2 0.250 0.375 0.000